Record 1
Compound: Nd2Ag2C3
Source: the Open Quantum Materials Database
Functional: PBE
Structure: relaxed

Cell: 11.977 3.723 5.532 Å, 90.00 106.90 90.00°
Sites, in units of the cell vectors:
Nd  0.113  0.000  0.337
Nd  0.387  0.500  0.663
Nd  0.613  0.500  0.337
Nd  0.887  0.000  0.663
Ag  0.146  0.500  0.843
Ag  0.354  0.000  0.157
Ag  0.646  0.000  0.843
Ag  0.854  0.500  0.157
C  0.000  0.500  0.500
C  0.241  0.500  0.240
C  0.259  0.000  0.760
C  0.500  0.000  0.500
C  0.741  0.000  0.240
C  0.759  0.500  0.760

* SG: C2/m

Record 2
Compound: NdAgC
Source: the Open Quantum Materials Database
Functional: PBE
Structure: relaxed

Cell: 3.918 3.918 13.187 Å, 90.00 90.00 120.00°
Sites, in units of the cell vectors:
Nd  0.000  0.000  0.000
Nd  0.000  0.000  0.360
Nd  0.333  0.667  0.670
Ag  0.667  0.333  0.179
Ag  0.667  0.333  0.506
Ag  0.667  0.333  0.836
C  0.000  0.000  0.745
C  0.333  0.667  0.448
C  0.333  0.667  0.924

* SG: P3m1

Record 3
Compound: Nd2AgWC3
Source: the Open Quantum Materials Database
Functional: PBE
Structure: relaxed

Cell: 12.295 3.574 5.849 Å, 90.00 114.44 90.00°
Sites, in units of the cell vectors:
Nd  0.000  0.000  0.000
Nd  0.213  0.000  0.665
Nd  0.500  0.500  0.000
Nd  0.713  0.500  0.665
Ag  0.472  0.000  0.529
Ag  0.972  0.500  0.529
W  0.285  0.500  0.190
W  0.785  0.000  0.190
C  0.128  0.500  0.899
C  0.328  0.500  0.557
C  0.362  0.000  0.114
C  0.628  0.000  0.899
C  0.828  0.000  0.557
C  0.862  0.500  0.114

* SG: Cm

Record 4
Compound: NiAg3C4
Source: the Open Quantum Materials Database
Functional: PBE
Structure: relaxed

Cell: 14.074 3.594 4.226 Å, 90.00 105.98 90.00°
Sites, in units of the cell vectors:
Ni  0.000  0.000  0.000
Ni  0.500  0.500  0.000
Ag  0.000  0.500  0.500
Ag  0.169  0.500  0.057
Ag  0.331  0.000  0.943
Ag  0.500  0.000  0.500
Ag  0.669  0.000  0.057
Ag  0.831  0.500  0.943
C  0.103  0.000  0.384
C  0.166  0.000  0.671
C  0.334  0.500  0.329
C  0.397  0.500  0.616
C  0.603  0.500  0.384
C  0.666  0.500  0.671
C  0.834  0.000  0.329
C  0.897  0.000  0.616

* SG: C2/m

Record 5
Compound: Y2AgOsC
Source: the Open Quantum Materials Database
Functional: PBE
Structure: relaxed

Cell: 5.008 5.008 3.900 Å, 90.00 90.00 90.00°
Sites, in units of the cell vectors:
Y  0.000  0.500  0.000
Y  0.500  0.000  0.000
Ag  0.000  0.000  0.500
Os  0.500  0.500  0.500
C  0.500  0.500  0.000

* SG: P4/mmm

Record 6
Compound: Ag5Pb2C6
Source: the Open Quantum Materials Database
Functional: PBE
Structure: relaxed

Cell: 5.898 5.898 6.789 Å, 90.00 90.00 120.00°
Sites, in units of the cell vectors:
Ag  0.000  0.000  0.247
Ag  0.000  0.000  0.753
Ag  0.000  0.500  0.000
Ag  0.500  0.000  0.000
Ag  0.500  0.500  0.000
Pb  0.333  0.667  0.500
Pb  0.667  0.333  0.500
C  0.000  0.354  0.285
C  0.000  0.646  0.715
C  0.354  0.000  0.285
C  0.354  0.354  0.715
C  0.646  0.000  0.715
C  0.646  0.646  0.285

* SG: P-31m

Record 7
Compound: AgPt3C
Source: the Open Quantum Materials Database
Functional: PBE
Structure: relaxed

Cell: 5.755 5.755 5.477 Å, 106.99 106.99 59.90°
Sites, in units of the cell vectors:
Ag  0.033  0.033  0.271
Ag  0.967  0.967  0.729
Pt  0.037  0.524  0.263
Pt  0.466  0.466  0.735
Pt  0.476  0.963  0.737
Pt  0.524  0.037  0.263
Pt  0.534  0.534  0.265
Pt  0.963  0.476  0.737
C  0.333  0.333  0.989
C  0.667  0.667  0.011

* SG: C2/m

Record 8
Compound: AgCS6
Source: the Open Quantum Materials Database
Functional: PBE
Structure: relaxed

Cell: 6.119 6.119 6.119 Å, 60.00 60.00 60.00°
Sites, in units of the cell vectors:
Ag  0.000  0.000  0.000
C  0.250  0.250  0.250
S  0.292  0.292  0.708
S  0.292  0.708  0.292
S  0.292  0.708  0.708
S  0.708  0.292  0.292
S  0.708  0.292  0.708
S  0.708  0.708  0.292

* SG: F-43m

Record 9
Compound: Ag2CS
Source: the Open Quantum Materials Database
Functional: PBE
Structure: relaxed

Cell: 3.622 3.622 10.988 Å, 90.00 90.00 120.00°
Sites, in units of the cell vectors:
Ag  0.333  0.667  0.104
Ag  0.333  0.667  0.396
Ag  0.667  0.333  0.604
Ag  0.667  0.333  0.896
C  0.000  0.000  0.000
C  0.000  0.000  0.500
S  0.333  0.667  0.750
S  0.667  0.333  0.250

* SG: P6_3/mmc

Record 10
Compound: Sc3AgC
Source: the Open Quantum Materials Database
Functional: PBE
Structure: relaxed

Cell: 6.450 8.910 6.400 Å, 90.00 90.00 90.00°
Sites, in units of the cell vectors:
Sc  0.000  0.250  0.067
Sc  0.000  0.750  0.933
Sc  0.249  0.034  0.749
Sc  0.249  0.466  0.749
Sc  0.251  0.534  0.249
Sc  0.251  0.966  0.249
Sc  0.500  0.250  0.433
Sc  0.500  0.750  0.567
Sc  0.749  0.034  0.751
Sc  0.749  0.466  0.751
Sc  0.751  0.534  0.251
Sc  0.751  0.966  0.251
Ag  0.001  0.750  0.495
Ag  0.499  0.250  0.995
Ag  0.501  0.750  0.005
Ag  0.999  0.250  0.505
C  0.000  0.000  0.000
C  0.000  0.500  0.000
C  0.500  0.000  0.500
C  0.500  0.500  0.500

* SG: Pnma
* offset from the most stable computed form: 0 kJ/mol of formula units

Record 11
Compound: Sc3AgC
Source: the Open Quantum Materials Database
Functional: PBE
Structure: relaxed

Cell: 4.527 4.527 4.527 Å, 90.00 90.00 90.00°
Sites, in units of the cell vectors:
Sc  0.000  0.000  0.500
Sc  0.000  0.500  0.000
Sc  0.500  0.000  0.000
Ag  0.500  0.500  0.500
C  0.000  0.000  0.000

* SG: Pm-3m
* offset from the most stable computed form: 11 kJ/mol of formula units

Record 12
Compound: Sc3AgC
Source: the Open Quantum Materials Database
Functional: PBE
Structure: relaxed

Cell: 6.347 6.351 6.395 Å, 119.74 119.56 90.11°
Sites, in units of the cell vectors:
Sc  0.211  0.212  0.013
Sc  0.255  0.768  0.500
Sc  0.284  0.694  0.978
Sc  0.716  0.306  0.022
Sc  0.745  0.232  0.500
Sc  0.789  0.788  0.987
Ag  0.251  0.247  0.500
Ag  0.749  0.753  0.500
C  0.000  0.500  0.000
C  0.500  0.000  0.000

* SG: P-1
* offset from the most stable computed form: 0 kJ/mol of formula units

Record 13
Compound: Tb2Ag2C3
Source: the Open Quantum Materials Database
Functional: PBE
Structure: relaxed

Cell: 11.454 3.581 5.784 Å, 90.00 110.95 90.00°
Sites, in units of the cell vectors:
Tb  0.118  0.000  0.296
Tb  0.382  0.500  0.704
Tb  0.618  0.500  0.296
Tb  0.882  0.000  0.704
Ag  0.144  0.500  0.833
Ag  0.356  0.000  0.167
Ag  0.644  0.000  0.833
Ag  0.856  0.500  0.167
C  0.000  0.500  0.000
C  0.238  0.000  0.733
C  0.262  0.500  0.267
C  0.500  0.000  0.000
C  0.738  0.500  0.733
C  0.762  0.000  0.267

* SG: C2/m

Record 14
Compound: TbTmAg2C3
Source: the Open Quantum Materials Database
Functional: PBE
Structure: relaxed

Cell: 11.405 3.553 5.767 Å, 90.00 111.63 90.00°
Sites, in units of the cell vectors:
Tb  0.000  0.000  0.000
Tb  0.500  0.500  0.000
Tm  0.238  0.000  0.589
Tm  0.738  0.500  0.589
Ag  0.260  0.500  0.122
Ag  0.475  0.000  0.465
Ag  0.760  0.000  0.122
Ag  0.975  0.500  0.465
C  0.123  0.500  0.305
C  0.354  0.000  0.022
C  0.375  0.500  0.560
C  0.623  0.000  0.305
C  0.854  0.500  0.022
C  0.875  0.000  0.560

* SG: Cm

Record 15
Compound: CdAg
Source: the Open Quantum Materials Database
Functional: PBE
Structure: relaxed

Cell: 4.477 4.477 7.277 Å, 90.00 90.00 120.00°
Sites, in units of the cell vectors:
Cd  0.333  0.667  0.000
Cd  0.667  0.333  0.500
Ag  0.333  0.667  0.624
Ag  0.667  0.333  0.124

* SG: P6_3mc
* formation energy from the elements: 0.440 eV/atom

Record 16
Compound: CdAg7
Source: the Open Quantum Materials Database
Functional: PBE
Structure: relaxed

Cell: 2.903 4.011 32.303 Å, 90.00 90.00 90.00°
Sites, in units of the cell vectors:
Cd  0.250  0.250  0.145
Cd  0.750  0.750  0.855
Ag  0.250  0.250  0.242
Ag  0.250  0.250  0.335
Ag  0.250  0.250  0.429
Ag  0.250  0.250  0.524
Ag  0.250  0.250  0.618
Ag  0.250  0.250  0.712
Ag  0.250  0.250  0.806
Ag  0.750  0.750  0.194
Ag  0.750  0.750  0.288
Ag  0.750  0.750  0.382
Ag  0.750  0.750  0.476
Ag  0.750  0.750  0.571
Ag  0.750  0.750  0.665
Ag  0.750  0.750  0.758

* SG: Pmmn
* formation energy from the elements: 0.047 eV/atom
* offset from the most stable computed form: 16 kJ/mol of formula units

Record 17
Compound: CdAg5
Source: the Open Quantum Materials Database
Functional: PBE
Structure: relaxed

Cell: 5.681 5.681 5.681 Å, 53.74 53.74 53.74°
Sites, in units of the cell vectors:
Cd  0.000  0.000  0.000
Ag  0.167  0.500  0.833
Ag  0.333  0.333  0.333
Ag  0.500  0.833  0.167
Ag  0.667  0.667  0.667
Ag  0.833  0.167  0.500

* SG: R32
* formation energy from the elements: -0.041 eV/atom

Record 18
Compound: Cd16Ag
Source: the Open Quantum Materials Database
Functional: PBE
Structure: relaxed

Cell: 7.639 7.639 13.464 Å, 90.00 90.00 110.13°
Sites, in units of the cell vectors:
Cd  0.000  0.000  0.000
Cd  0.000  0.000  0.500
Cd  0.022  0.643  0.072
Cd  0.022  0.643  0.428
Cd  0.178  0.822  0.642
Cd  0.178  0.822  0.858
Cd  0.193  0.468  0.750
Cd  0.232  0.360  0.135
Cd  0.232  0.360  0.365
Cd  0.281  0.719  0.250
Cd  0.357  0.978  0.072
Cd  0.357  0.978  0.428
Cd  0.360  0.232  0.635
Cd  0.360  0.232  0.865
Cd  0.390  0.610  0.543
Cd  0.390  0.610  0.957
Cd  0.468  0.193  0.250
Cd  0.532  0.807  0.750
Cd  0.610  0.390  0.043
Cd  0.610  0.390  0.457
Cd  0.640  0.768  0.135
Cd  0.640  0.768  0.365
Cd  0.643  0.022  0.572
Cd  0.643  0.022  0.928
Cd  0.719  0.281  0.750
Cd  0.768  0.640  0.635
Cd  0.768  0.640  0.865
Cd  0.807  0.532  0.250
Cd  0.822  0.178  0.142
Cd  0.822  0.178  0.358
Cd  0.978  0.357  0.572
Cd  0.978  0.357  0.928
Ag  0.039  0.961  0.250
Ag  0.961  0.039  0.750

* SG: Cmcm
* formation energy from the elements: 0.043 eV/atom

Record 19
Compound: Cd2Ag7
Source: the Open Quantum Materials Database
Functional: PBE
Structure: relaxed

Cell: 2.963 2.963 22.171 Å, 90.00 90.00 120.00°
Sites, in units of the cell vectors:
Cd  0.333  0.667  0.065
Cd  0.667  0.333  0.935
Ag  0.000  0.000  0.180
Ag  0.000  0.000  0.500
Ag  0.000  0.000  0.820
Ag  0.333  0.667  0.394
Ag  0.333  0.667  0.713
Ag  0.667  0.333  0.287
Ag  0.667  0.333  0.606

* SG: P-3m1
* formation energy from the elements: -0.003 eV/atom

Record 20
Compound: CdAg7
Source: the Open Quantum Materials Database
Functional: PBE
Structure: relaxed

Cell: 2.926 2.926 45.408 Å, 90.00 90.00 90.00°
Sites, in units of the cell vectors:
Cd  0.250  0.250  0.150
Cd  0.750  0.750  0.850
Ag  0.250  0.250  0.248
Ag  0.250  0.250  0.340
Ag  0.250  0.250  0.432
Ag  0.250  0.250  0.523
Ag  0.250  0.250  0.614
Ag  0.250  0.250  0.706
Ag  0.250  0.250  0.799
Ag  0.750  0.750  0.201
Ag  0.750  0.750  0.294
Ag  0.750  0.750  0.386
Ag  0.750  0.750  0.477
Ag  0.750  0.750  0.568
Ag  0.750  0.750  0.660
Ag  0.750  0.750  0.752

* SG: P4/nmm
* formation energy from the elements: 0.026 eV/atom
* offset from the most stable computed form: 0 kJ/mol of formula units

no.,mass density (g/cm3),calculated total energy (eV/atom)
1,7.601,-5.486
2,7.504,-5.163
3,8.746,-7.463
4,6.956,-5.392
5,8.285,-7.621
6,8.328,-3.964
7,15.851,-5.753
8,3.201,-2.906
9,6.911,-3.529
10,4.600,-6.614
11,4.561,-6.592
12,4.598,-6.615
13,8.538,-5.484
14,8.862,-5.476
15,5.792,-1.420
16,7.658,-2.536
17,9.781,-2.544
18,8.582,-0.966
19,9.651,-2.399
20,7.411,-2.558